## Li7Mn2Co3O12 (GGA+U)

Data for a geometry-optimized Li7Mn2Co3O12 structure.

Values from the calculation:
* calculated volume: 424.3 Å³ per cell
* D(E_F): 0.099 states/eV/atom
* uncorrected energy: -280.290 eV per cell

Geometry as CIF:
```
data_Li7Mn2Co3O12
_symmetry_space_group_name_H-M 'C 1 m 1'
_symmetry_Int_Tables_number 8
_symmetry_space_group_name_Hall 'C -2y'
_cell_length_a 12.526
_cell_length_b 2.937
_cell_length_c 11.923
_cell_angle_alpha 90.00
_cell_angle_beta 104.70
_cell_angle_gamma 90.00
loop_
_atom_site_label
_atom_site_type_symbol
_atom_site_fract_x
_atom_site_fract_y
_atom_site_fract_z
_atom_site_occupancy
Li1 Li 0.000 0.000 0.000 1
Li2 Li 0.000 0.000 0.478 1
Li3 Li 0.160 0.500 0.163 1
Li4 Li 0.162 0.500 0.644 1
Li5 Li 0.332 0.000 0.834 1
Li6 Li 0.336 0.000 0.309 1
Li7 Li 0.497 0.500 0.231 1
Mn1 Mn 0.002 0.000 0.745 1
Mn2 Mn 0.332 0.000 0.569 1
Co1 Co 0.150 0.500 0.390 1
Co2 Co 0.165 0.500 0.910 1
Co3 Co 0.334 0.000 0.073 1
O1 O 0.003 0.500 0.365 1
O2 O 0.003 0.500 0.863 1
O3 O 0.160 0.000 0.796 1
O4 O 0.171 0.000 0.285 1
O5 O 0.173 0.000 0.017 1
O6 O 0.177 0.000 0.531 1
O7 O 0.322 0.500 0.958 1
O8 O 0.328 0.500 0.173 1
O9 O 0.331 0.500 0.463 1
O10 O 0.340 0.500 0.690 1
O11 O 0.481 0.000 0.105 1
O12 O 0.494 0.000 0.621 1
```